{"formula": "CdSi2Mo2", "functional": "PBE", "state": "relaxed", "lattice_angstrom": [[7.1363, 0.0000, 0.0000], [0.0000, 7.1363, 0.0000], [0.0000, 0.0000, 3.1713]], "species": ["Si", "Mo", "Cd", "Mo", "Si", "Si", "Mo", "Cd", "Mo", "Si"], "fractional_positions": [[0.8551, 0.3551, 0.5000], [0.1424, 0.3576, 0.0000], [0.0000, 0.0000, 0.0000], [0.6424, 0.1424, 0.0000], [0.3551, 0.1449, 0.5000], [0.1449, 0.6449, 0.5000], [0.3576, 0.8576, 0.0000], [0.5000, 0.5000, 0.0000], [0.8576, 0.6424, 0.0000], [0.6449, 0.8551, 0.5000]], "e_tot_ev_per_cell": -66.801, "spacegroup": "P4/mbm (127)"}